Density functional theory data (PBE) for crystalline AcBiH2Pd6 at its relaxed geometry.

Geometry as POSCAR:
```
AcBiH2Pd6
1.0
4.556 -6.688 0.000
4.556 6.688 0.000
-0.239 0.000 5.601
Ac Bi H Pd
2 2 4 12
direct
0.116 0.884 0.750
0.884 0.116 0.250
0.429 0.571 0.250
0.571 0.429 0.750
0.047 0.323 0.719
0.323 0.047 0.219
0.677 0.953 0.781
0.953 0.677 0.281
0.121 0.632 0.114
0.181 0.539 0.603
0.211 0.284 0.910
0.284 0.211 0.410
0.368 0.879 0.386
0.461 0.819 0.897
0.539 0.181 0.103
0.632 0.121 0.614
0.716 0.789 0.590
0.789 0.716 0.090
0.819 0.461 0.397
0.879 0.368 0.886
```

Calculated values
Magnetic moment (Bohr magnetons per cell): 0.000
Total energy (eV per atom): -4.910
Space-group type: No. 15
Density of states at the Fermi level (states/eV/f.u.): 3.574